No. 1
A crystal of CsTiAlO4 relaxed with PBEsol, computed with SCAN.

Geometry as POSCAR:
```
CsTiAlO4
1.0
-2.880 4.447 4.976
2.880 -4.447 4.976
2.880 4.447 -4.976
Cs Ti Al O
2 2 2 8
direct
0.000 0.000 0.000
0.606 0.106 0.500
0.008 0.714 0.294
0.420 0.714 0.706
0.185 0.372 0.812
0.560 0.372 0.188
0.025 0.054 0.476
0.025 0.549 0.970
0.205 0.705 0.500
0.326 0.547 0.779
0.333 0.333 0.000
0.579 0.054 0.030
0.579 0.549 0.524
0.768 0.547 0.221
```

Summary:
Energy relative to the elements, uncorrected: -3.082 eV/atom
Final energy: -216.2 eV for the cell shown
Symmetry: Imm2



No. 2
A crystal of ZrHgNF2 relaxed with PBEsol, computed with SCAN.

Geometry as POSCAR:
```
ZrHgNF2
1.0
4.357 0.000 0.000
0.000 4.357 0.000
0.000 0.000 4.154
Zr Hg N F
1 1 1 2
direct
0.000 0.000 0.000
0.500 0.500 0.500
0.500 0.500 0.000
0.000 0.500 0.500
0.500 0.000 0.500
```

Summary:
Energy relative to the elements, uncorrected: -0.121 eV/atom
Final energy: -115.8 eV for the cell shown
Symmetry: P4/mmm



No. 3
A crystal of LiPbSe2 relaxed with PBEsol, computed with SCAN.

Geometry as POSCAR:
```
LiPbSe2
1.0
4.182 0.000 0.000
0.000 5.460 0.000
0.000 0.000 4.157
Li Pb Se
1 1 2
direct
0.000 0.000 0.000
0.500 0.500 0.457
0.000 0.500 0.000
0.500 0.000 0.590
```

Summary:
Energy relative to the elements, uncorrected: -0.668 eV/atom
Final energy: -121.0 eV for the cell shown
Symmetry: Pmm2



No. 4
A crystal of NaAsSe2I relaxed with PBEsol, computed with SCAN.

Geometry as POSCAR:
```
NaAsSe2I
1.0
5.470 0.000 0.000
0.000 5.470 0.000
0.000 0.000 5.341
Na As Se I
1 1 2 1
direct
0.000 0.000 0.000
0.500 0.500 0.000
0.000 0.500 0.500
0.500 0.000 0.500
0.500 0.500 0.500
```

Summary:
Energy relative to the elements, uncorrected: 0.449 eV/atom
Final energy: -99.1 eV for the cell shown
Symmetry: P4/mmm



Please write out number 3 again, unchanged.
A crystal of LiPbSe2 relaxed with PBEsol, computed with SCAN.

Geometry as POSCAR:
```
LiPbSe2
1.0
4.182 0.000 0.000
0.000 5.460 0.000
0.000 0.000 4.157
Li Pb Se
1 1 2
direct
0.000 0.000 0.000
0.500 0.500 0.457
0.000 0.500 0.000
0.500 0.000 0.590
```

Summary:
Energy relative to the elements, uncorrected: -0.668 eV/atom
Final energy: -121.0 eV for the cell shown
Symmetry: Pmm2



Repeat the third record exactly.
A crystal of LiPbSe2 relaxed with PBEsol, computed with SCAN.

Geometry as POSCAR:
```
LiPbSe2
1.0
4.182 0.000 0.000
0.000 5.460 0.000
0.000 0.000 4.157
Li Pb Se
1 1 2
direct
0.000 0.000 0.000
0.500 0.500 0.457
0.000 0.500 0.000
0.500 0.000 0.590
```

Summary:
Energy relative to the elements, uncorrected: -0.668 eV/atom
Final energy: -121.0 eV for the cell shown
Symmetry: Pmm2